Entry 1:
Material: PuPa2W
Method: DFT, GGA-PBE
State: optimized geometry

The space group is P4/mmm (No. 123) and the conventional cell measures 3.4846, 3.4846 and 7.2527 Å, with angles of 90.00, 90.00 and 90.00 degrees. The inequivalent atoms are Pu at (0.0000, 0.0000, 0.0000), Pa at (0.5000, 0.5000, 0.2599) and W at (0.0000, 0.0000, 0.5000).

For the relative energy among the computed polymorphs, the calculation gives 0.0 meV per atom.

Entry 2:
Material: ZnCu15Ni4
Method: DFT, GGA-PBE
State: optimized geometry

The space group is P4/mmm (No. 123) and the conventional cell measures 3.5981, 3.5981 and 18.1661 Å, with angles of 90.00, 90.00 and 90.00 degrees. The inequivalent atoms are Zn at (0.0000, 0.0000, 0.0000), Cu at (0.0000, 0.5000, 0.1040), Cu at (0.0000, 0.5000, 0.3021), Cu at (0.0000, 0.5000, 0.5000), Cu at (0.5000, 0.5000, 0.0000), Cu at (0.5000, 0.5000, 0.2031), Cu at (0.5000, 0.5000, 0.4012), Ni at (0.0000, 0.0000, 0.2025) and Ni at (0.0000, 0.0000, 0.4008).

The raw total energy comes out at -0.3158 Ry/atom.

Entry 3:
Material: Hg3Os4
Method: DFT, GGA-PBE
State: optimized geometry

The space group is I4/mmm (No. 139) and the conventional cell measures 2.8710, 2.8710 and 29.7044 Å, with angles of 90.00, 90.00 and 90.00 degrees. The inequivalent atoms are Hg at (0.0000, 0.0000, 0.0000), Hg at (0.0000, 0.0000, 0.2956), Os at (0.0000, 0.0000, 0.1297) and Os at (0.0000, 0.0000, 0.4243).

For the relative energy among the computed polymorphs, the calculation gives 0.0 meV per atom.

Entry 4:
Material: TlHgF3
Method: DFT, GGA-PBE
State: optimized geometry

The space group is C2 (No. 5) and the conventional cell measures 9.1417, 6.8748 and 5.7079 Å, with angles of 90.00, 109.61 and 90.00 degrees. The inequivalent atoms are Tl at (0.1413, 0.0000, 0.3568), Hg at (0.1386, 0.4996, 0.8591), F at (0.0000, 0.7412, 0.0000), F at (0.0000, 0.7670, 0.5000), F at (0.1152, 0.1151, 0.7317) and F at (0.1195, 0.3803, 0.2397).

The energy relative to the elements, uncorrected comes out at -1.545 eV/atom.

Entry 5:
Material: TbDy3Hg5
Method: DFT, GGA-PBE
State: optimized geometry

The space group is P6_3/mcm (No. 193) and the conventional cell measures 9.1084, 9.1084 and 6.4969 Å, with angles of 90.00, 90.00 and 120.00 degrees. The inequivalent atoms are Tb at (0.0000, 0.0000, 0.0000), Dy at (0.0000, 0.3699, 0.2500), Hg at (0.0000, 0.2987, 0.7500) and Hg at (0.3333, 0.6667, 0.0000).

The raw total energy comes out at -0.1923 Ry/atom.

Entry 6:
Material: HgH2Au3
Method: DFT, GGA-PBE
State: optimized geometry

The space group is Cmcm (No. 63) and the conventional cell measures 7.7689, 7.6854 and 7.0225 Å, with angles of 90.00, 90.00 and 90.00 degrees. The inequivalent atoms are Hg at (0.0000, 0.1854, 0.2500), H at (0.1901, 0.5000, 0.0000), Au at (0.0000, 0.1892, 0.7500) and Au at (0.1885, 0.4991, 0.7500).

The raw total energy comes out at -0.1909 Ry/atom.

Entry 7:
Material: ReHgSb2I
Method: DFT, GGA-PBE
State: optimized geometry

The space group is P4/mmm (No. 123) and the conventional cell measures 5.5345, 5.5345 and 5.8368 Å, with angles of 90.00, 90.00 and 90.00 degrees. The inequivalent atoms are Re at (0.0000, 0.0000, 0.0000), Hg at (0.5000, 0.5000, 0.5000), Sb at (0.0000, 0.5000, 0.5000) and I at (0.5000, 0.5000, 0.0000).

The energy relative to the elements, uncorrected comes out at 1.768 eV/atom. For the relative energy among the computed polymorphs, the calculation gives 1221.3 meV per atom.

Entry 8:
Material: ZnHgTe2
Method: DFT, GGA-PBE
State: optimized geometry

The space group is C2 (No. 5) and the conventional cell measures 6.3843, 6.3912 and 6.4560 Å, with angles of 90.00, 90.04 and 90.00 degrees. The inequivalent atoms are Zn at (0.0000, 0.0000, 0.0000), Hg at (0.0000, 0.4985, 0.5000) and Te at (0.2504, 0.2495, 0.2282).

The energy relative to the elements, uncorrected comes out at -0.305 eV/atom.

Entry 9:
Material: KSeO2F
Method: DFT, GGA-PBE
State: optimized geometry

The space group is P4/mmm (No. 123) and the conventional cell measures 3.9076, 3.9076 and 4.6202 Å, with angles of 90.00, 90.00 and 90.00 degrees. The inequivalent atoms are K at (0.0000, 0.0000, 0.0000), Se at (0.5000, 0.5000, 0.5000), O at (0.0000, 0.5000, 0.5000) and F at (0.5000, 0.5000, 0.0000).

The energy relative to the elements, uncorrected comes out at -1.210 eV/atom.

Entry 10:
Material: SiPb2S5
Method: DFT, GGA-PBE
State: optimized geometry

The space group is I4mm (No. 107) and the conventional cell measures 6.2652, 6.2652 and 10.9320 Å, with angles of 90.00, 90.00 and 90.00 degrees. The inequivalent atoms are Si at (0.0000, 0.0000, 0.0000), Pb at (0.0000, 0.5000, 0.2324), S at (0.0000, 0.0000, 0.8074) and S at (0.2422, 0.2422, 0.0618).

The energy relative to the elements, uncorrected comes out at -0.217 eV/atom.

Entry 11:
Material: NaMgCd3
Method: DFT, GGA-PBE
State: optimized geometry

The space group is Pm-3m (No. 221) and the conventional cell measures 5.5385, 5.5385 and 5.5385 Å, with angles of 90.00, 90.00 and 90.00 degrees. The inequivalent atoms are Na at (0.0000, 0.0000, 0.0000), Mg at (0.5000, 0.5000, 0.5000) and Cd at (0.0000, 0.0000, 0.5000).

For the relative energy among the computed polymorphs, the calculation gives 505.4 meV per atom.

Entry 12:
Material: NaHg2F4
Method: DFT, GGA-PBE
State: optimized geometry

The space group is C2/c (No. 15) and the conventional cell measures 10.0491, 10.0551 and 7.1074 Å, with angles of 90.00, 134.69 and 90.00 degrees. The inequivalent atoms are Na at (0.0000, 0.1243, 0.2500), Hg at (0.0000, 0.5000, 0.0000), Hg at (0.2500, 0.2500, 0.0000), F at (0.0011, 0.2541, 0.5125) and F at (0.2401, 0.4945, 0.9891).

The energy relative to the elements, uncorrected comes out at -1.634 eV/atom.